Density functional theory data (PBE) for a relaxed CrCu4 crystal.

Cell: 4.4964 4.4964 4.4964 Å, 90.00 90.00 90.00°
Sites, in units of the cell vectors:
Cu: 0.0000 0.0000 0.0000
Cu: 0.5000 0.0000 0.5000
Cu: 0.0000 0.5000 0.5000
Cu: 0.5000 0.5000 0.0000
Cr: 0.5000 0.5000 0.5000

Summary:
Magnetization   0.81 μB per atom
SG   Pm-3m (221)
VASP energy   -3.821 eV per atom

=====

Density functional theory data (PBE) for a relaxed Sm2Ho8Tm3 crystal.

Cell: 3.5356 12.1508 20.4769 Å, 90.00 110.21 90.00°
Sites, in units of the cell vectors:
Ho: 0.2261 0.6228 0.3630
Ho: 0.4034 0.1488 0.7017
Ho: 0.7739 0.1228 0.1370
Ho: 0.5966 0.8512 0.2983
Ho: 0.7739 0.3772 0.6370
Ho: 0.0366 0.2896 0.0184
Ho: 0.2261 0.8772 0.8630
Ho: 0.6669 0.5159 0.0834
Ho: 0.0366 0.2104 0.5184
Ho: 0.4034 0.3512 0.2017
Ho: 0.9634 0.7896 0.4816
Ho: 0.6669 0.9841 0.5834
Ho: 0.3331 0.4841 0.9166
Ho: 0.9634 0.7104 0.9816
Ho: 0.5966 0.6488 0.7983
Ho: 0.3331 0.0159 0.4166
Sm: 0.7592 0.6663 0.6295
Sm: 0.2408 0.3337 0.3705
Sm: 0.2408 0.1663 0.8705
Sm: 0.7592 0.8337 0.1295
Tm: 0.0000 0.0000 0.0000
Tm: 0.4231 0.6248 0.2115
Tm: 0.0000 0.5000 0.5000
Tm: 0.5769 0.3752 0.7885
Tm: 0.4231 0.8752 0.7115
Tm: 0.5769 0.1248 0.2885

Summary:
Magnetization   0.00 μB per atom
SG   Pbam (55)
VASP energy   -4.503 eV per atom
Relative energy among the computed polymorphs   0 kJ/mol of formula units

=====

Density functional theory data (PBE) for a relaxed LaSb3Ru crystal.

Cell: 5.9481 5.9481 5.9481 Å, 90.00 90.00 90.00°
Sites, in units of the cell vectors:
Ru: 0.5000 0.5000 0.5000
La: 0.0000 0.0000 0.0000
Sb: 0.0000 0.0000 0.5000
Sb: 0.5000 0.0000 0.0000
Sb: 0.0000 0.5000 0.0000

Summary:
Magnetization   0.57 μB per atom
SG   Pm-3m (221)
Formation energy from raw total energies   1.422 eV/atom
VASP energy   -3.892 eV per atom
Relative energy among the computed polymorphs   990 kJ/mol of formula units

=====

Density functional theory data (PBE) for a relaxed TiSnPtRh crystal.

Cell: 4.1122 4.1122 4.8345 Å, 115.17 115.17 90.00°
Sites, in units of the cell vectors:
Rh: 0.7500 0.2500 0.5000
Pt: 0.2500 0.7500 0.5000
Ti: 0.0000 0.0000 0.0000
Sn: 0.5000 0.5000 0.0000

Summary:
Magnetization   0.08 μB per atom
SG   I-4m2 (119)
VASP energy   -7.008 eV per atom

=====

Density functional theory data (PBE) for a relaxed PmLuCoRh crystal.

Cell: 4.8095 4.8095 4.8095 Å, 60.00 60.00 60.00°
Sites, in units of the cell vectors:
Lu: 0.7500 0.7500 0.7500
Pm: 0.2500 0.2500 0.2500
Co: 0.5000 0.5000 0.5000
Rh: 0.0000 0.0000 0.0000

Summary:
Magnetization   0.15 μB per atom
SG   F-43m (216)
VASP energy   -6.381 eV per atom

=====

Density functional theory data (PBE) for a relaxed PrGa2CuAu crystal.

Cell: 4.3811 4.3811 6.0034 Å, 111.40 111.40 90.00°
Sites, in units of the cell vectors:
Cu: 0.2500 0.7500 0.5000
Ga: 0.6208 0.6208 0.2417
Ga: 0.3792 0.3792 0.7583
Pr: 0.0000 0.0000 0.0000
Au: 0.7500 0.2500 0.5000

Summary:
Magnetization   0.00 μB per atom
SG   I-4m2 (119)
VASP energy   -4.170 eV per atom

=====

Density functional theory data (PBE) for a relaxed Ba2CrAg crystal.

Cell: 9.2737 5.8570 4.1890 Å, 90.00 63.15 129.06°
Sites, in units of the cell vectors:
Ag: 0.5000 0.5000 0.0000
Ba: 0.5000 0.0000 0.5000
Ba: 0.0000 0.0000 0.0000
Cr: 0.0000 0.5000 0.5000

Summary:
Magnetization   1.19 μB per atom
SG   Cmmm (65)
VASP energy   -3.761 eV per atom
Relative energy among the computed polymorphs   33 kJ/mol of formula units

=====

Density functional theory data (PBE) for a relaxed TaSi2Br crystal.

Cell: 8.0378 8.0378 8.0378 Å, 24.01 24.01 24.01°
Sites, in units of the cell vectors:
Si: 0.5101 0.5101 0.5101
Si: 0.9899 0.9899 0.9899
Ta: 0.2500 0.2500 0.2500
Br: 0.7500 0.7500 0.7500

Summary:
Magnetization   0.00 μB per atom
SG   R-3m (166)
Formation energy from raw total energies   0.328 eV/atom
VASP energy   -5.765 eV per atom
Relative energy among the computed polymorphs   119 kJ/mol of formula units

=====

Density functional theory data (PBE) for a relaxed HRu2RhN crystal.

Cell: 3.7087 3.9918 3.7087 Å, 90.00 90.00 90.00°
Sites, in units of the cell vectors:
Rh: 0.5000 0.5000 0.5000
Ru: 0.5000 0.0000 0.0000
Ru: 0.0000 0.0000 0.5000
H: 0.0000 0.0000 0.0000
N: 0.0000 0.5000 0.0000

Summary:
Magnetization   0.00 μB per atom
SG   P4/mmm (123)
VASP energy   -6.283 eV per atom
Relative energy among the computed polymorphs   0 kJ/mol of formula units

=====

Density functional theory data (PBE) for a relaxed SrCeNd2 crystal.

Cell: 3.6889 3.6889 10.8215 Å, 90.00 90.00 90.00°
Sites, in units of the cell vectors:
Nd: 0.0000 0.0000 0.2159
Nd: 0.0000 0.0000 0.7841
Sr: 0.5000 0.5000 0.5000
Ce: 0.5000 0.5000 0.0000

Summary:
Magnetization   0.06 μB per atom
SG   P4/mmm (123)
VASP energy   -4.170 eV per atom
Relative energy among the computed polymorphs   0 kJ/mol of formula units

=====

Density functional theory data (PBE) for a relaxed Th2Co3CuGe4 crystal.

Cell: 4.1719 4.1719 9.7237 Å, 90.00 90.00 90.00°
Sites, in units of the cell vectors:
Th: 0.5000 0.0000 0.2485
Th: 0.0000 0.5000 0.7515
Co: 0.0000 0.5000 0.1224
Co: 0.0000 0.0000 0.5000
Co: 0.5000 0.0000 0.8776
Ge: 0.5000 0.0000 0.6347
Ge: 0.5000 0.5000 0.0000
Ge: 0.0000 0.5000 0.3653
Ge: 0.0000 0.0000 0.0000
Cu: 0.5000 0.5000 0.5000

Summary:
Magnetization   0.06 μB per atom
SG   P-4m2 (115)
VASP energy   -6.452 eV per atom

=====

Density functional theory data (PBE) for a relaxed Nd3Th crystal.

Cell: 3.6370 6.0001 6.3639 Å, 90.00 90.00 90.00°
Sites, in units of the cell vectors:
Nd: 0.5000 0.0000 0.5086
Nd: 0.5000 0.5000 0.8372
Nd: 0.0000 0.5000 0.3226
Th: 0.0000 0.0000 0.9982

Summary:
Magnetization   0.00 μB per atom
SG   Pmm2 (25)
VASP energy   -5.353 eV per atom
Relative energy among the computed polymorphs   18 kJ/mol of formula units

=====

Density functional theory data (PBE) for a relaxed AlZnRuCl2 crystal.

Cell: 4.5218 5.8471 4.5218 Å, 90.00 90.00 90.00°
Sites, in units of the cell vectors:
Ru: 0.5000 0.5000 0.5000
Al: 0.0000 0.0000 0.0000
Zn: 0.0000 0.5000 0.0000
Cl: 0.0000 0.0000 0.5000
Cl: 0.5000 0.0000 0.0000

Summary:
Magnetization   0.55 μB per atom
SG   P4/mmm (123)
Formation energy from raw total energies   0.673 eV/atom
VASP energy   -2.924 eV per atom

=====

Density functional theory data (PBE) for a relaxed ScTc2W crystal.

Cell: 8.7778 8.7778 8.7778 Å, 19.50 19.50 19.50°
Sites, in units of the cell vectors:
Tc: 0.5042 0.5042 0.5042
Tc: 0.9958 0.9958 0.9958
Sc: 0.7500 0.7500 0.7500
W: 0.2500 0.2500 0.2500

Summary:
Magnetization   0.00 μB per atom
SG   R-3m (166)
VASP energy   -9.846 eV per atom
Relative energy among the computed polymorphs   148 kJ/mol of formula units

=====

Density functional theory data (PBE) for a relaxed Pr3SiB2N6 crystal.

Cell: 5.2588 5.2588 6.3923 Å, 90.00 90.00 120.00°
Sites, in units of the cell vectors:
Si: 0.0000 0.0000 0.5000
Pr: 0.3333 0.6667 0.6720
Pr: 0.6667 0.3333 0.3280
Pr: 0.0000 0.0000 0.0000
N: 0.3436 0.1718 0.6879
N: 0.1718 0.8282 0.3121
N: 0.8282 0.1718 0.6879
N: 0.1718 0.3436 0.3121
N: 0.8282 0.6564 0.6879
N: 0.6564 0.8282 0.3121
B: 0.3333 0.6667 0.2833
B: 0.6667 0.3333 0.7167

Summary:
Magnetization   0.00 μB per atom
SG   P-3m1 (164)
Formation energy from raw total energies   -0.922 eV/atom
VASP energy   -7.844 eV per atom

=====

Density functional theory data (PBE) for a relaxed Sm6DyHo3Sc2 crystal.

Cell: 6.1416 6.1416 11.5995 Å, 95.05 95.05 119.97°
Sites, in units of the cell vectors:
Sm: 0.5817 0.9179 0.7549
Sm: 0.9179 0.5817 0.7549
Sm: 0.7459 0.7459 0.2451
Sm: 0.2541 0.2541 0.7549
Sm: 0.4183 0.0821 0.2451
Sm: 0.0821 0.4183 0.2451
Ho: 0.1668 0.8332 0.5000
Ho: 0.5000 0.5000 0.5000
Ho: 0.8332 0.1668 0.5000
Dy: 0.0000 0.0000 0.0000
Sc: 0.6667 0.3333 0.0000
Sc: 0.3333 0.6667 0.0000

Summary:
Magnetization   0.00 μB per atom
SG   C2/m (12)
VASP energy   -4.908 eV per atom

=====

Density functional theory data (PBE) for a relaxed ZnCo2W crystal.

Cell: 6.5481 6.5481 5.3177 Å, 52.00 52.00 90.00°
Sites, in units of the cell vectors:
Zn: 0.2500 0.7500 0.5000
Zn: 0.5000 0.5000 0.0000
Co: 0.1072 0.6250 0.2500
Co: 0.3750 0.3572 0.7500
Co: 0.8750 0.8928 0.7500
Co: 0.6428 0.1250 0.2500
W: 0.0000 0.0000 0.0000
W: 0.7500 0.2500 0.5000

Summary:
Magnetization   0.00 μB per atom
SG   I-42d (122)
VASP energy   -6.495 eV per atom

=====

Density functional theory data (PBE) for a relaxed TcOs2W crystal.

Cell: 9.2398 9.2398 9.2398 Å, 17.14 17.14 17.14°
Sites, in units of the cell vectors:
Tc: 0.5034 0.5034 0.5034
Os: 0.2488 0.2488 0.2488
Os: 0.9992 0.9992 0.9992
W: 0.7486 0.7486 0.7486

Summary:
Magnetization   0.00 μB per atom
SG   R3m (160)
VASP energy   -11.300 eV per atom
Relative energy among the computed polymorphs   61 kJ/mol of formula units

=====

Density functional theory data (PBE) for a relaxed In8I6Br crystal.

Cell: 8.4487 8.4487 8.4487 Å, 88.35 88.35 88.35°
Sites, in units of the cell vectors:
In: 0.2712 0.2712 0.2712
In: 0.8793 0.0807 0.6407
In: 0.0807 0.6407 0.8793
In: 0.6407 0.8793 0.0807
In: 0.9193 0.3593 0.1207
In: 0.3593 0.1207 0.9193
In: 0.1207 0.9193 0.3593
In: 0.7288 0.7288 0.7288
I: 0.6752 0.3585 0.8193
I: 0.6415 0.1807 0.3248
I: 0.8193 0.6752 0.3585
I: 0.3248 0.6415 0.1807
I: 0.3585 0.8193 0.6752
I: 0.1807 0.3248 0.6415
Br: 0.0000 0.0000 0.0000

Summary:
Magnetization   0.00 μB per atom
SG   R-3 (148)
Formation energy from raw total energies   -0.357 eV/atom
VASP energy   -2.550 eV per atom

=====

Density functional theory data (PBE) for a relaxed LiAcP4 crystal.

Cell: 5.4538 5.4538 5.4538 Å, 60.00 60.00 60.00°
Sites, in units of the cell vectors:
P: 0.6354 0.6354 0.0937
P: 0.6354 0.6354 0.6354
P: 0.0937 0.6354 0.6354
P: 0.6354 0.0937 0.6354
Li: 0.0000 0.0000 0.0000
Ac: 0.2500 0.2500 0.2500

Summary:
Magnetization   0.00 μB per atom
SG   F-43m (216)
VASP energy   -4.867 eV per atom